Run i
A plane-wave DFT calculation with GGA-PBE was carried out for crystalline NaTaSb2 at its relaxed geometry.

It has space group P4/mmm (No. 123), with a = 3.422 Å, b = 3.422 Å, c = 8.187 Å, α = 90.00°, β = 90.00° and γ = 90.00°. The asymmetric unit holds Na at (0.000, 0.000, 0.000), Ta at (0.000, 0.000, 0.500) and Sb at (0.500, 0.500, 0.292).

Run ii
A plane-wave DFT calculation with GGA-PBE was carried out for crystalline NaTaSb2 at its relaxed geometry.

It has space group R-3m (No. 166, hexagonal axes), with a = 3.5348 Å, b = 3.5348 Å, c = 30.2661 Å, α = 90.00°, β = 90.00° and γ = 120.00°. The asymmetric unit holds Na at (0.0000, 0.0000, 0.0000), Ta at (0.0000, 0.0000, 0.5000) and Sb at (0.0000, 0.0000, 0.1017).

Most stable structure - run i; separation to the second - 5.4 kJ/mol of atoms.